The following is a PBE calculation of an optimized crystal structure of MgZnAgRu, from Alexandria via LeMat-Bulk.

Cell: 4.4322 4.4322 4.4322 Å, 60.00 60.00 60.00°
Sites, in units of the cell vectors:
Mg: 0.0000 0.0000 0.0000
Zn: 0.5000 0.5000 0.5000
Ag: 0.7500 0.7500 0.7500
Ru: 0.2500 0.2500 0.2500

## Properties
The formation energy is -0.018 eV/atom.